[1]
The following is a DFT calculation (PBE) of an optimized crystal structure of EuPt2.

Properties
- N(E_F): 10.2 states/eV/f.u.
- Crystal system: cubic
- M_tot: 2.30 μB per atom
- Calculated total energy: -8.4190 eV per atom
- Volume: 59 Å³/f.u.
- Space group: Fd-3m (227)

```
data_EuPt2
_chemical_formula_sum 'Eu2 Pt4'
_symmetry_space_group_name_H-M 'P 1'
_symmetry_Int_Tables_number 1
_cell_length_a 5.512
_cell_length_b 5.512
_cell_length_c 5.512
_cell_angle_alpha 60.00
_cell_angle_beta 60.00
_cell_angle_gamma 60.00
loop_
_symmetry_equiv_pos_as_xyz
'x,y,z'
loop_
_atom_site_label
_atom_site_fract_x
_atom_site_fract_y
_atom_site_fract_z
_atom_site_occupancy
Eu1 0.125 0.125 0.125 1
Eu2 0.875 0.875 0.875 1
Pt1 0.000 0.500 0.500 1
Pt2 0.500 0.000 0.500 1
Pt3 0.500 0.500 0.000 1
Pt4 0.500 0.500 0.500 1
```

***

[2]
The following is a DFT calculation (PBE) of an optimized crystal structure of Rb3GaP.

Properties
- N(E_F): 6.4 states/eV/f.u.
- Crystal system: cubic
- M_tot: 0.38 μB per atom
- Calculated total energy: -1.9868 eV per atom
- Energy above the most stable polymorph in this dataset: 0 meV per atom
- Volume: 284 Å³/f.u.
- Space group: Pm-3m (221)

```
data_Rb3GaP
_chemical_formula_sum 'Rb3 Ga1 P1'
_symmetry_space_group_name_H-M 'P 1'
_symmetry_Int_Tables_number 1
_cell_length_a 6.575
_cell_length_b 6.575
_cell_length_c 6.575
_cell_angle_alpha 90.00
_cell_angle_beta 90.00
_cell_angle_gamma 90.00
loop_
_symmetry_equiv_pos_as_xyz
'x,y,z'
loop_
_atom_site_label
_atom_site_fract_x
_atom_site_fract_y
_atom_site_fract_z
_atom_site_occupancy
Rb1 0.000 0.000 0.500 1
Rb2 0.000 0.500 0.000 1
Rb3 0.500 0.000 0.000 1
Ga1 0.500 0.500 0.500 1
P1 0.000 0.000 0.000 1
```

***

Question: Which value of M_tot does entry 1 give?
Answer: 2.30 μB per atom